VASP calculation (PBE) on a geometry-optimized FeSi2Cl structure.

Cell: 3.463 4.061 5.316 Å, 90.33 90.00 90.00°
Fractional coordinates of all 4 atoms:
Si  0.000  0.842  0.105
Si  0.500  0.243  0.021
Cl  0.000  0.687  0.522
Fe  0.500  0.729  0.852

Calculated values
**Spin magnetization**: 0.0 μB/cell
**Formation energy from raw total energies**: 0.44 eV per formula unit
**Uncorrected energy**: -5.1793 eV per atom
**Offset from the most stable computed form**: 13 meV per atom



VASP calculation (PBE) on a geometry-optimized Dy6Ho2Tm3Zr structure.

Cell: 6.044 6.044 11.559 Å, 94.97 94.97 119.91°
Fractional coordinates of all 12 atoms:
Ho  0.333  0.667  0.000
Ho  0.667  0.333  0.000
Dy  0.409  0.082  0.246
Dy  0.082  0.409  0.246
Dy  0.918  0.591  0.754
Dy  0.591  0.918  0.754
Dy  0.755  0.755  0.245
Dy  0.245  0.245  0.755
Zr  0.000  0.000  0.000
Tm  0.833  0.167  0.500
Tm  0.167  0.833  0.500
Tm  0.500  0.500  0.500

Calculated values
**Spin magnetization**: 0.0 μB/cell
**Uncorrected energy**: -4.8505 eV per atom



VASP calculation (PBE) on a geometry-optimized Sc2TaBr structure.

Cell: 3.139 7.527 5.594 Å, 42.05 90.00 90.00°
Fractional coordinates of all 4 atoms:
Sc  0.500  0.500  0.000
Sc  0.000  0.000  0.000
Ta  0.500  0.500  0.500
Br  0.000  0.000  0.500

Calculated values
**Spin magnetization**: 0.0 μB/cell
**Formation energy from raw total energies**: 0.52 eV per formula unit
**Uncorrected energy**: -6.4180 eV per atom
**Offset from the most stable computed form**: 432 meV per atom



> What is the spin magnetization in the first record?

0.0 μB/cell



> Which value of uncorrected energy does entry 1 give?

-5.1793 eV per atom



> uncorrected energy of number 1 (FeSi2Cl)?

-5.1793 eV per atom



> Which formula does entry 2 have?

Dy6Ho2Tm3Zr